(1)
{
  "formula": "HoSc3Tl3Te8",
  "functional": "PBE-GGA",
  "state": "optimized geometry",
  "lattice": [[-5.833, 6.122, 0.175], [2.404, -3.335, -7.393], [-5.523, -5.421, 5.497]],
  "species": ["Te", "Te", "Te", "Te", "Te", "Te", "Te", "Te", "Sc", "Sc", "Sc", "Tl", "Tl", "Tl", "Ho"],
  "frac_coords": [[0.756, 0.513, 0.289], [0.265, 0.530, 0.296], [0.723, 0.967, 0.710], [0.756, 0.033, 0.290], [0.735, 0.470, 0.704], [0.244, 0.487, 0.711], [0.277, 0.033, 0.290], [0.244, 0.967, 0.710], [0.000, 0.500, 0.500], [0.500, 0.000, 0.500], [0.500, 0.500, 0.500], [0.500, 0.500, 0.000], [0.000, 0.500, 0.000], [0.000, 0.000, 0.000], [0.000, 0.000, 0.500]],
  "total_energy_ev_per_atom": -4.68,
  "n_ef_per_ev_fu": 4.24,
  "m_tot_mub_per_fu": 0.00
}

=====

(2)
{
  "formula": "HoScTl2Te4",
  "functional": "PBE-GGA",
  "state": "optimized geometry",
  "lattice": [[4.353, 0.000, 0.000], [0.000, 7.537, 0.133], [0.000, -2.651, 8.113]],
  "species": ["Te", "Te", "Te", "Te", "Sc", "Tl", "Tl", "Ho"],
  "frac_coords": [[0.000, 0.746, 0.210], [0.500, 0.226, 0.205], [0.500, 0.774, 0.795], [0.000, 0.254, 0.790], [0.000, 0.000, 0.000], [0.000, 0.500, 0.500], [0.500, 0.000, 0.500], [0.500, 0.500, 0.000]],
  "total_energy_ev_per_atom": -4.51,
  "n_ef_per_ev_fu": 0.09,
  "m_tot_mub_per_fu": 0.00
}

=====

(3)
{
  "formula": "HoTm2Sc3Te6",
  "functional": "PBE-GGA",
  "state": "optimized geometry",
  "lattice": [[-3.872, 0.965, 1.420], [-2.666, -7.836, -1.946], [4.911, -1.356, 7.996]],
  "species": ["Sc", "Sc", "Sc", "Tm", "Tm", "Te", "Te", "Te", "Te", "Te", "Te", "Ho"],
  "frac_coords": [[0.165, 0.834, 0.330], [0.835, 0.166, 0.670], [0.500, 0.500, 0.000], [0.165, 0.332, 0.331], [0.835, 0.668, 0.669], [0.330, 0.921, 0.659], [0.335, 0.411, 0.670], [0.002, 0.742, 0.004], [0.670, 0.079, 0.341], [0.998, 0.258, 0.996], [0.665, 0.589, 0.330], [0.500, 0.000, 0.000]],
  "total_energy_ev_per_atom": -5.43,
  "n_ef_per_ev_fu": 7.64,
  "m_tot_mub_per_fu": 0.00
}

=====

(4)
{
  "formula": "HoTm3Sc2Te6",
  "functional": "PBE-GGA",
  "state": "optimized geometry",
  "lattice": [[4.255, 0.000, 0.000], [0.000, 8.550, 0.308], [-2.128, -2.460, 8.964]],
  "species": ["Te", "Te", "Te", "Te", "Te", "Te", "Sc", "Sc", "Tm", "Tm", "Tm", "Ho"],
  "frac_coords": [[0.331, 0.422, 0.661], [0.330, 0.910, 0.661], [0.004, 0.254, 0.008], [0.670, 0.090, 0.339], [0.669, 0.578, 0.339], [0.996, 0.746, 0.992], [0.834, 0.668, 0.669], [0.166, 0.332, 0.331], [0.500, 0.500, 0.000], [0.838, 0.170, 0.676], [0.162, 0.830, 0.324], [0.500, 0.000, 0.000]],
  "total_energy_ev_per_atom": -5.28,
  "n_ef_per_ev_fu": 7.36,
  "m_tot_mub_per_fu": 0.00
}

=====

(5)
{
  "formula": "Ho2TmScTe6",
  "functional": "PBE-GGA",
  "state": "optimized geometry",
  "lattice": [[-4.231, 6.112, 1.357], [-4.372, 2.856, -5.461], [-8.064, -1.064, 0.674]],
  "species": ["Te", "Te", "Te", "Te", "Te", "Te", "Sc", "Ho", "Ho", "Tm"],
  "frac_coords": [[0.098, 0.423, 0.758], [0.423, 0.720, 0.758], [0.933, 0.588, 0.251], [0.720, 0.098, 0.758], [0.228, 0.933, 0.251], [0.588, 0.228, 0.251], [0.327, 0.327, 0.020], [0.510, 0.510, 0.469], [0.009, 0.009, 0.973], [0.825, 0.825, 0.524]],
  "total_energy_ev_per_atom": -5.18,
  "m_tot_mub_per_fu": 0.00
}

=====

(6)
{
  "formula": "Y2Ho3ScTe6",
  "functional": "PBE-GGA",
  "state": "optimized geometry",
  "lattice": [[-0.056, -2.101, -3.759], [0.148, -7.564, 4.226], [-9.174, 2.839, 1.017]],
  "species": ["Te", "Te", "Te", "Te", "Te", "Te", "Ho", "Ho", "Ho", "Y", "Y", "Sc"],
  "frac_coords": [[0.003, 0.759, 0.005], [0.660, 0.079, 0.321], [0.340, 0.921, 0.679], [0.997, 0.241, 0.995], [0.665, 0.585, 0.330], [0.335, 0.415, 0.670], [0.827, 0.163, 0.654], [0.173, 0.837, 0.346], [0.500, 0.500, 0.000], [0.832, 0.666, 0.664], [0.168, 0.334, 0.336], [0.500, 0.000, 0.000]],
  "total_energy_ev_per_atom": -5.56,
  "n_ef_per_ev_fu": 7.07,
  "m_tot_mub_per_fu": 0.00
}

=====

Copy entry 5 word for word.
{
  "formula": "Ho2TmScTe6",
  "functional": "PBE-GGA",
  "state": "optimized geometry",
  "lattice": [[-4.231, 6.112, 1.357], [-4.372, 2.856, -5.461], [-8.064, -1.064, 0.674]],
  "species": ["Te", "Te", "Te", "Te", "Te", "Te", "Sc", "Ho", "Ho", "Tm"],
  "frac_coords": [[0.098, 0.423, 0.758], [0.423, 0.720, 0.758], [0.933, 0.588, 0.251], [0.720, 0.098, 0.758], [0.228, 0.933, 0.251], [0.588, 0.228, 0.251], [0.327, 0.327, 0.020], [0.510, 0.510, 0.469], [0.009, 0.009, 0.973], [0.825, 0.825, 0.524]],
  "total_energy_ev_per_atom": -5.18,
  "m_tot_mub_per_fu": 0.00
}